Compound: Zn2Cu7Ge
Source: Alexandria
Functional: PBE
Structure: optimized geometry

Summary:
**Energy relative to the lowest polymorph listed for this composition**: 0.210 eV/atom
**ΔE_f**: 3.20 eV per formula unit
**DOS at the Fermi energy**: 2.2 states/eV per cell
**V**: 16.40 Å³/atom
**VASP energy**: -3.264 eV/atom

Cell lengths 3.9148, 7.1715, 7.1715 Å; angles 125.44, 90.00, 90.00 degrees
Atoms (fractional coordinates):
Zn 0.5000 0.6995 0.3005
Zn 0.5000 0.3005 0.6995
Cu 0.5000 0.5000 0.5000
Cu 0.0000 0.8122 0.1878
Cu 0.5000 0.0824 0.2852
Cu 0.5000 0.9176 0.7148
Cu 0.0000 0.1878 0.8122
Cu 0.5000 0.2852 0.0824
Cu 0.5000 0.7148 0.9176
Ge 0.0000 0.0000 0.0000